[1]
## HfVSbI2 (GGA-PBE)

Data for a relaxed structure of HfVSbI2.

The structure in CIF format:
```
data_HfVSbI2
_chemical_formula_sum 'Hf1 V1 Sb1 I2'
_cell_length_a 5.575
_cell_length_b 5.575
_cell_length_c 5.737
_cell_angle_alpha 90.00
_cell_angle_beta 90.00
_cell_angle_gamma 90.00
_symmetry_space_group_name_H-M 'P 4/m m m'
_symmetry_Int_Tables_number 123
_symmetry_space_group_name_Hall '-P 4 2'
loop_
_atom_site_label
_atom_site_type_symbol
_atom_site_fract_x
_atom_site_fract_y
_atom_site_fract_z
_atom_site_occupancy
Hf1 Hf 0.000 0.000 0.000 1
V1 V 0.500 0.500 0.500 1
Sb1 Sb 0.000 0.000 0.500 1
I1 I 0.000 0.500 0.000 1
```

Computed properties:
The calculation puts the density of states at the Fermi level at 5.82 states/eV/cell. As for the energy above the most stable polymorph in this dataset: 0.0 meV per atom. The calculation puts the total energy at -4.6765 eV/atom.

***

[2]
## HfSb2WI (GGA-PBE)

Data for a relaxed structure of HfSb2WI.

The structure in CIF format:
```
data_HfSb2WI
_chemical_formula_sum 'Hf1 Sb2 W1 I1'
_cell_length_a 5.198
_cell_length_b 5.198
_cell_length_c 5.530
_cell_angle_alpha 90.00
_cell_angle_beta 90.00
_cell_angle_gamma 90.00
_symmetry_space_group_name_H-M 'P 4/m m m'
_symmetry_Int_Tables_number 123
_symmetry_space_group_name_Hall '-P 4 2'
loop_
_atom_site_label
_atom_site_type_symbol
_atom_site_fract_x
_atom_site_fract_y
_atom_site_fract_z
_atom_site_occupancy
Hf1 Hf 0.000 0.000 0.000 1
Sb1 Sb 0.000 0.500 0.500 1
W1 W 0.500 0.500 0.500 1
I1 I 0.500 0.500 0.000 1
```

Computed properties:
The calculation puts the density of states at the Fermi level at 6.44 states/eV/cell. As for the energy above the most stable polymorph in this dataset: 0.0 meV per atom. The calculation puts the total energy at -5.3884 eV/atom.

***

[3]
## YHfSb2I (GGA-PBE)

Data for a relaxed structure of YHfSb2I.

The structure in CIF format:
```
data_YHfSb2I
_chemical_formula_sum 'Y1 Hf1 Sb2 I1'
_cell_length_a 5.790
_cell_length_b 5.790
_cell_length_c 5.647
_cell_angle_alpha 90.00
_cell_angle_beta 90.00
_cell_angle_gamma 90.00
_symmetry_space_group_name_H-M 'P 4/m m m'
_symmetry_Int_Tables_number 123
_symmetry_space_group_name_Hall '-P 4 2'
loop_
_atom_site_label
_atom_site_type_symbol
_atom_site_fract_x
_atom_site_fract_y
_atom_site_fract_z
_atom_site_occupancy
Y1 Y 0.000 0.000 0.000 1
Hf1 Hf 0.500 0.500 0.500 1
Sb1 Sb 0.000 0.500 0.000 1
I1 I 0.000 0.000 0.500 1
```

Computed properties:
The calculation puts the density of states at the Fermi level at 5.32 states/eV/cell. As for the energy above the most stable polymorph in this dataset: 626.5 meV per atom. The calculation puts the total energy at -4.6264 eV/atom.

***

[4]
## YHfSb2I (GGA-PBE)

Data for a relaxed structure of YHfSb2I.

The structure in CIF format:
```
data_YHfSb2I
_chemical_formula_sum 'Y1 Hf1 Sb2 I1'
_cell_length_a 5.554
_cell_length_b 5.554
_cell_length_c 5.484
_cell_angle_alpha 90.00
_cell_angle_beta 90.00
_cell_angle_gamma 90.00
_symmetry_space_group_name_H-M 'P 4/m m m'
_symmetry_Int_Tables_number 123
_symmetry_space_group_name_Hall '-P 4 2'
loop_
_atom_site_label
_atom_site_type_symbol
_atom_site_fract_x
_atom_site_fract_y
_atom_site_fract_z
_atom_site_occupancy
Y1 Y 0.000 0.000 0.000 1
Hf1 Hf 0.500 0.500 0.500 1
Sb1 Sb 0.000 0.500 0.500 1
I1 I 0.500 0.500 0.000 1
```

Computed properties:
The calculation puts the density of states at the Fermi level at 2.91 states/eV/cell. As for the energy above the most stable polymorph in this dataset: 0.0 meV per atom. The calculation puts the total energy at -5.2529 eV/atom.

***

[5]
## HfZnSbI2 (GGA-PBE)

Data for a relaxed structure of HfZnSbI2.

The structure in CIF format:
```
data_HfZnSbI2
_chemical_formula_sum 'Hf1 Zn1 Sb1 I2'
_cell_length_a 5.696
_cell_length_b 5.696
_cell_length_c 5.658
_cell_angle_alpha 90.00
_cell_angle_beta 90.00
_cell_angle_gamma 90.00
_symmetry_space_group_name_H-M 'P 4/m m m'
_symmetry_Int_Tables_number 123
_symmetry_space_group_name_Hall '-P 4 2'
loop_
_atom_site_label
_atom_site_type_symbol
_atom_site_fract_x
_atom_site_fract_y
_atom_site_fract_z
_atom_site_occupancy
Hf1 Hf 0.000 0.000 0.000 1
Zn1 Zn 0.500 0.500 0.500 1
Sb1 Sb 0.000 0.000 0.500 1
I1 I 0.000 0.500 0.000 1
```

Computed properties:
The calculation puts the density of states at the Fermi level at 3.92 states/eV/cell. As for the energy above the most stable polymorph in this dataset: 0.0 meV per atom. The calculation puts the total energy at -3.6466 eV/atom.

***

[6]
## HfZnSbI2 (GGA-PBE)

Data for a relaxed structure of HfZnSbI2.

The structure in CIF format:
```
data_HfZnSbI2
_chemical_formula_sum 'Hf1 Zn1 Sb1 I2'
_cell_length_a 5.314
_cell_length_b 5.314
_cell_length_c 5.385
_cell_angle_alpha 90.00
_cell_angle_beta 90.00
_cell_angle_gamma 90.00
_symmetry_space_group_name_H-M 'P 4/m m m'
_symmetry_Int_Tables_number 123
_symmetry_space_group_name_Hall '-P 4 2'
loop_
_atom_site_label
_atom_site_type_symbol
_atom_site_fract_x
_atom_site_fract_y
_atom_site_fract_z
_atom_site_occupancy
Hf1 Hf 0.000 0.000 0.000 1
Zn1 Zn 0.500 0.500 0.500 1
Sb1 Sb 0.500 0.500 0.000 1
I1 I 0.000 0.500 0.500 1
```

Computed properties:
The calculation puts the density of states at the Fermi level at 3.65 states/eV/cell. As for the energy above the most stable polymorph in this dataset: 629.3 meV per atom. The calculation puts the total energy at -3.0173 eV/atom.

***

[7]
## HfZnSb2I (GGA-PBE)

Data for a relaxed structure of HfZnSb2I.

The structure in CIF format:
```
data_HfZnSb2I
_chemical_formula_sum 'Hf1 Zn1 Sb2 I1'
_cell_length_a 5.566
_cell_length_b 5.566
_cell_length_c 5.700
_cell_angle_alpha 90.00
_cell_angle_beta 90.00
_cell_angle_gamma 90.00
_symmetry_space_group_name_H-M 'P 4/m m m'
_symmetry_Int_Tables_number 123
_symmetry_space_group_name_Hall '-P 4 2'
loop_
_atom_site_label
_atom_site_type_symbol
_atom_site_fract_x
_atom_site_fract_y
_atom_site_fract_z
_atom_site_occupancy
Hf1 Hf 0.000 0.000 0.000 1
Zn1 Zn 0.500 0.500 0.500 1
Sb1 Sb 0.000 0.500 0.000 1
I1 I 0.000 0.000 0.500 1
```

Computed properties:
The calculation puts the density of states at the Fermi level at 4.56 states/eV/cell. As for the energy above the most stable polymorph in this dataset: 0.0 meV per atom. The calculation puts the total energy at -3.9576 eV/atom.

***

[8]
## HfZnSb2I (GGA-PBE)

Data for a relaxed structure of HfZnSb2I.

The structure in CIF format:
```
data_HfZnSb2I
_chemical_formula_sum 'Hf1 Zn1 Sb2 I1'
_cell_length_a 5.107
_cell_length_b 5.107
_cell_length_c 5.479
_cell_angle_alpha 90.00
_cell_angle_beta 90.00
_cell_angle_gamma 90.00
_symmetry_space_group_name_H-M 'P 4/m m m'
_symmetry_Int_Tables_number 123
_symmetry_space_group_name_Hall '-P 4 2'
loop_
_atom_site_label
_atom_site_type_symbol
_atom_site_fract_x
_atom_site_fract_y
_atom_site_fract_z
_atom_site_occupancy
Hf1 Hf 0.000 0.000 0.000 1
Zn1 Zn 0.500 0.500 0.500 1
Sb1 Sb 0.000 0.500 0.500 1
I1 I 0.500 0.500 0.000 1
```

Computed properties:
The calculation puts the density of states at the Fermi level at 3.97 states/eV/cell. As for the energy above the most stable polymorph in this dataset: 477.6 meV per atom. The calculation puts the total energy at -3.4800 eV/atom.

***

[9]
## HfScI2 (GGA-PBE)

Data for a relaxed structure of HfScI2.

The structure in CIF format:
```
data_HfScI2
_chemical_formula_sum 'Hf4 Sc4 I8'
_cell_length_a 7.186
_cell_length_b 7.186
_cell_length_c 7.186
_cell_angle_alpha 90.00
_cell_angle_beta 90.00
_cell_angle_gamma 90.00
_symmetry_space_group_name_H-M 'F m -3 m'
_symmetry_Int_Tables_number 225
_symmetry_space_group_name_Hall '-F 4 2 3'
loop_
_atom_site_label
_atom_site_type_symbol
_atom_site_fract_x
_atom_site_fract_y
_atom_site_fract_z
_atom_site_occupancy
Hf1 Hf 0.000 0.000 0.000 1
Sc1 Sc 0.000 0.000 0.500 1
I1 I 0.250 0.250 0.250 1
```

Computed properties:
The calculation puts the density of states at the Fermi level at 14.94 states/eV/cell. As for the energy above the most stable polymorph in this dataset: 0.0 meV per atom. The calculation puts the total energy at -4.9043 eV/atom.

***

[10]
## HfScI2 (GGA-PBE)

Data for a relaxed structure of HfScI2.

The structure in CIF format:
```
data_HfScI2
_chemical_formula_sum 'Hf4 Sc4 I8'
_cell_length_a 7.900
_cell_length_b 7.900
_cell_length_c 7.156
_cell_angle_alpha 90.00
_cell_angle_beta 90.00
_cell_angle_gamma 90.00
_symmetry_space_group_name_H-M 'I -4 2 d'
_symmetry_Int_Tables_number 122
_symmetry_space_group_name_Hall 'I -4 2bw'
loop_
_atom_site_label
_atom_site_type_symbol
_atom_site_fract_x
_atom_site_fract_y
_atom_site_fract_z
_atom_site_occupancy
Hf1 Hf 0.000 0.000 0.000 1
Sc1 Sc 0.000 0.000 0.500 1
I1 I 0.249 0.750 0.125 1
```

Computed properties:
The calculation puts the density of states at the Fermi level at 20.19 states/eV/cell. As for the energy above the most stable polymorph in this dataset: 288.7 meV per atom. The calculation puts the total energy at -4.6156 eV/atom.

***

[11]
## HfScI3 (GGA-PBE)

Data for a relaxed structure of HfScI3.

The structure in CIF format:
```
data_HfScI3
_chemical_formula_sum 'Hf1 Sc1 I3'
_cell_length_a 5.665
_cell_length_b 5.665
_cell_length_c 5.665
_cell_angle_alpha 90.00
_cell_angle_beta 90.00
_cell_angle_gamma 90.00
_symmetry_space_group_name_H-M 'P m -3 m'
_symmetry_Int_Tables_number 221
_symmetry_space_group_name_Hall '-P 4 2 3'
loop_
_atom_site_label
_atom_site_type_symbol
_atom_site_fract_x
_atom_site_fract_y
_atom_site_fract_z
_atom_site_occupancy
Hf1 Hf 0.000 0.000 0.000 1
Sc1 Sc 0.500 0.500 0.500 1
I1 I 0.000 0.000 0.500 1
```

Computed properties:
The calculation puts the density of states at the Fermi level at 7.91 states/eV/cell. As for the energy above the most stable polymorph in this dataset: 0.0 meV per atom. The calculation puts the total energy at -4.0117 eV/atom.

***

[12]
## HfSc2I2 (GGA-PBE)

Data for a relaxed structure of HfSc2I2.

The structure in CIF format:
```
data_HfSc2I2
_chemical_formula_sum 'Hf2 Sc4 I4'
_cell_length_a 8.146
_cell_length_b 8.146
_cell_length_c 3.543
_cell_angle_alpha 90.00
_cell_angle_beta 90.00
_cell_angle_gamma 90.00
_symmetry_space_group_name_H-M 'P 4/m b m'
_symmetry_Int_Tables_number 127
_symmetry_space_group_name_Hall '-P 4 2ab'
loop_
_atom_site_label
_atom_site_type_symbol
_atom_site_fract_x
_atom_site_fract_y
_atom_site_fract_z
_atom_site_occupancy
Hf1 Hf 0.000 0.000 0.000 1
Sc1 Sc 0.155 0.345 0.500 1
I1 I 0.148 0.648 0.000 1
```

Computed properties:
The calculation puts the density of states at the Fermi level at 8.91 states/eV/cell. As for the energy above the most stable polymorph in this dataset: 0.0 meV per atom. The calculation puts the total energy at -5.2401 eV/atom.

***

> Which formula does entry 2 have?

HfSb2WI

***

Repeat the ninth record exactly.
## HfScI2 (GGA-PBE)

Data for a relaxed structure of HfScI2.

The structure in CIF format:
```
data_HfScI2
_chemical_formula_sum 'Hf4 Sc4 I8'
_cell_length_a 7.186
_cell_length_b 7.186
_cell_length_c 7.186
_cell_angle_alpha 90.00
_cell_angle_beta 90.00
_cell_angle_gamma 90.00
_symmetry_space_group_name_H-M 'F m -3 m'
_symmetry_Int_Tables_number 225
_symmetry_space_group_name_Hall '-F 4 2 3'
loop_
_atom_site_label
_atom_site_type_symbol
_atom_site_fract_x
_atom_site_fract_y
_atom_site_fract_z
_atom_site_occupancy
Hf1 Hf 0.000 0.000 0.000 1
Sc1 Sc 0.000 0.000 0.500 1
I1 I 0.250 0.250 0.250 1
```

Computed properties:
The calculation puts the density of states at the Fermi level at 14.94 states/eV/cell. As for the energy above the most stable polymorph in this dataset: 0.0 meV per atom. The calculation puts the total energy at -4.9043 eV/atom.